Record 1
This record from the Alexandria database describes crystalline Co2C3 at its relaxed geometry. The functional is PBE.

The space group is R-3m (No. 166, hexagonal axes) and the conventional cell measures 2.5010, 2.5010 and 33.7008 Å, with angles of 90.00, 90.00 and 120.00 degrees. The inequivalent atoms are Co at (0.0000, 0.0000, 0.1293), C at (0.0000, 0.0000, 0.3333) and C at (0.0000, 0.0000, 0.5000).

Its formation energy is 515.6 meV per atom. The value obtained for the energy above the lowest structure with this stoichiometry is 0.0558 eV/atom.

Record 2
This record from the Alexandria database describes crystalline CoC at its relaxed geometry. The functional is PBE.

The space group is Imm2 (No. 44) and the conventional cell measures 2.469, 2.942 and 4.667 Å, with angles of 90.00, 90.00 and 90.00 degrees. The inequivalent atoms are Co at (0.000, 0.000, 0.000) and C at (0.000, 0.000, 0.404).

Its formation energy is 735.4 meV per atom.

Record 3
This record from the Alexandria database describes crystalline CoC at its relaxed geometry. The functional is PBE.

The space group is I-43m (No. 217) and the conventional cell measures 5.818, 5.818 and 5.818 Å, with angles of 90.00, 90.00 and 90.00 degrees. The inequivalent atoms are Co at (0.150, 0.150, 0.850) and C at (0.171, 0.171, 0.171).

Its formation energy is 764.7 meV per atom.

Record 4
This record from the Alexandria database describes crystalline CoC at its relaxed geometry. The functional is PBE.

The space group is I4_1/amd (No. 141, origin choice 2) and the conventional cell measures 2.711, 2.711 and 9.639 Å, with angles of 90.00, 90.00 and 90.00 degrees. The inequivalent atoms are Co at (0.000, 0.250, 0.375) and C at (0.000, 0.250, 0.875).

Its formation energy is 1063.0 meV per atom.

Record 5
This record from the Alexandria database describes crystalline Co2C at its relaxed geometry. The functional is PBE.

The space group is P-3m1 (No. 164) and the conventional cell measures 2.8219, 2.8219 and 14.1143 Å, with angles of 90.00, 90.00 and 120.00 degrees. The inequivalent atoms are Co at (0.0000, 0.0000, 0.0840), Co at (0.3333, 0.6667, 0.5685), Co at (0.3333, 0.6667, 0.7342), C at (0.0000, 0.0000, 0.5000) and C at (0.3333, 0.6667, 0.8625).

Its formation energy is 635.8 meV per atom. The value obtained for the energy above the lowest structure with this stoichiometry is 0.5286 eV/atom.

Record 6
This record from the Alexandria database describes crystalline CoC at its relaxed geometry. The functional is PBE.

The space group is Cmcm (No. 63) and the conventional cell measures 2.515, 9.448 and 2.900 Å, with angles of 90.00, 90.00 and 90.00 degrees. The inequivalent atoms are Co at (0.000, 0.127, 0.250) and C at (0.000, 0.337, 0.250).

Its formation energy is 912.7 meV per atom.

- formation energy of number 2 (CoC)?
  735.4 meV per atom

- What is the formation energy in the sixth record?
  912.7 meV per atom